EuFeF2, optimized geometry, DFT PBE with a Hubbard U; VASP energy = -6.596 eV/atom; DOS at the Fermi energy = 5.34 states/eV/cell
1.0
3.708 0.000 0.000
-1.854 3.212 0.000
0.000 0.000 19.587
Eu Fe F
3 3 6
Cartesian
0.000 0.000 0.000
0.000 2.141 13.058
1.854 1.071 6.529
0.000 0.000 9.793
0.000 2.141 3.264
1.854 1.071 16.322
0.000 0.000 2.436
0.000 0.000 17.151
0.000 2.141 10.622
0.000 2.141 15.494
1.854 1.071 4.093
1.854 1.071 8.965